# 1
VASP calculation (PBE-GGA) on a relaxed HgGeRu crystal.

Cell: 5.017 6.028 7.783 Å, 90.00 91.74 90.00°
Positions (direct):
Hg: 0.000 0.250 0.250
Hg: 0.000 0.250 0.750
Hg: 0.000 0.750 0.750
Hg: 0.000 0.750 0.250
Ge: 0.500 0.787 0.500
Ge: 0.500 0.213 0.500
Ge: 0.500 0.287 0.000
Ge: 0.500 0.713 0.000
Ru: 0.528 0.000 0.224
Ru: 0.472 0.000 0.776
Ru: 0.528 0.500 0.724
Ru: 0.472 0.500 0.276

## Properties
VASP energy: -56.2 eV/cell
Size of the total moment: 0.0 μB/f.u.
Energy above the lowest structure with this stoichiometry: 0.08 eV per formula unit

# 2
VASP calculation (PBE-GGA) on a relaxed Hg2GeRuS crystal.

Cell: 4.979 5.039 4.979 Å, 90.00 90.00 90.00°
Each line ends with the local moment (μB).
Positions (direct):
S: 0.000 0.000 0.000  0.02
Ru: 0.500 0.500 0.500  2.22
Ge: 0.000 0.500 0.000  -0.07
Hg: 0.000 0.000 0.500  0.03
Hg: 0.500 0.000 0.000  0.01

## Properties
ΔE_f (raw): 1.1999 eV/atom
VASP energy: -12.6 eV/cell
Size of the total moment: 2.3 μB/f.u.

# 3
VASP calculation (PBE-GGA) on a relaxed TcHgGeRu2 crystal.

Cell: 5.057 4.755 5.057 Å, 90.00 90.00 90.00°
Each line ends with the local moment (μB).
Positions (direct):
Ru: 0.000 0.000 0.500  0.52
Ru: 0.500 0.000 0.000  0.45
Ge: 0.000 0.500 0.000  -0.07
Hg: 0.000 0.000 0.000  -0.01
Tc: 0.500 0.500 0.500  3.20

## Properties
VASP energy: -21.8 eV/cell
Size of the total moment: 4.4 μB/f.u.

# 4
VASP calculation (PBE-GGA) on a relaxed VHgGe2Ru crystal.

Cell: 5.034 5.159 5.034 Å, 90.00 90.00 90.00°
Each line ends with the local moment (μB).
Positions (direct):
Ru: 0.000 0.500 0.000  0.18
Ge: 0.000 0.000 0.500  -0.01
Ge: 0.500 0.000 0.000  0.00
Hg: 0.000 0.000 0.000  0.01
V: 0.500 0.500 0.500  0.14

## Properties
VASP energy: -18.2 eV/cell
Size of the total moment: 0.4 μB/f.u.

# 5
VASP calculation (PBE-GGA) on a relaxed HgGeRu2W crystal.

Cell: 4.931 4.638 4.931 Å, 90.00 90.00 90.00°
Each line ends with the local moment (μB).
Positions (direct):
Ru: 0.000 0.000 0.500  -0.45
Ru: 0.500 0.000 0.000  -0.41
Ge: 0.000 0.500 0.000  -0.03
Hg: 0.000 0.000 0.000  -0.01
W: 0.500 0.500 0.500  2.19

## Properties
VASP energy: -23.6 eV/cell
Size of the total moment: 1.9 μB/f.u.
Energy above the lowest structure with this stoichiometry: 6.32 eV per formula unit

# 6
VASP calculation (PBE-GGA) on a relaxed HgGeRu2W crystal.

Cell: 4.788 4.906 4.788 Å, 90.00 90.00 90.00°
Positions (direct):
Ru: 0.000 0.000 0.500
Ru: 0.500 0.000 0.000
Ge: 0.000 0.500 0.000
Hg: 0.500 0.500 0.500
W: 0.000 0.000 0.000

## Properties
VASP energy: -29.9 eV/cell
Size of the total moment: 0.0 μB/f.u.
Energy above the lowest structure with this stoichiometry: 0.00 eV per formula unit

# 7
VASP calculation (PBE-GGA) on a relaxed Hg4GeS5 crystal.

Cell: 6.348 6.753 6.753 Å, 77.24 61.96 61.96°
Positions (direct):
Hg: 0.453 0.397 0.799
Hg: 0.850 0.799 0.603
Hg: 0.252 0.201 0.397
Hg: 0.650 0.603 0.201
Ge: 0.029 0.000 0.000
S: 0.864 0.400 0.805
S: 0.264 0.805 0.600
S: 0.669 0.195 0.400
S: 0.069 0.600 0.195
S: 0.409 0.000 0.000

## Properties
ΔE_f (raw): -0.0346 eV/atom
VASP energy: -26.8 eV/cell
Size of the total moment: 0.0 μB/f.u.

# 8
VASP calculation (PBE-GGA) on a relaxed Hg4GeS6 crystal.

Cell: 7.334 7.319 12.669 Å, 73.54 73.18 59.93°
Positions (direct):
Hg: 0.280 0.990 0.647
Hg: 0.083 0.490 0.147
Hg: 0.780 0.219 0.457
Hg: 0.544 0.719 0.957
Hg: 0.910 0.657 0.651
Hg: 0.781 0.157 0.151
Hg: 0.676 0.237 0.806
Hg: 0.281 0.737 0.306
Ge: 0.679 0.784 0.397
Ge: 0.139 0.284 0.897
S: 0.417 0.522 0.145
S: 0.916 0.022 0.645
S: 0.480 0.610 0.472
S: 0.438 0.110 0.972
S: 0.484 0.100 0.453
S: 0.963 0.600 0.953
S: 0.967 0.088 0.947
S: 0.997 0.588 0.447
S: 0.023 0.153 0.266
S: 0.559 0.653 0.766
S: 0.252 0.325 0.712
S: 0.711 0.825 0.212

## Properties
ΔE_f (raw): -0.1704 eV/atom
VASP energy: -64.9 eV/cell
Size of the total moment: 0.0 μB/f.u.

# 9
VASP calculation (PBE-GGA) on a relaxed Hg3Ge5S12 crystal.

Cell: 13.251 13.251 13.251 Å, 109.47 109.47 109.47°
Positions (direct):
Hg: 0.750 0.375 0.125
Hg: 0.875 0.750 0.125
Hg: 0.375 0.750 0.625
Hg: 0.250 0.125 0.375
Hg: 0.875 0.125 0.250
Hg: 0.375 0.625 0.250
Hg: 0.625 0.375 0.750
Hg: 0.125 0.875 0.750
Hg: 0.750 0.875 0.625
Hg: 0.625 0.250 0.375
Hg: 0.125 0.250 0.875
Hg: 0.250 0.625 0.875
Ge: 0.125 0.375 0.250
Ge: 0.000 0.500 0.000
Ge: 0.000 0.000 0.000
Ge: 0.375 0.250 0.125
Ge: 0.500 0.000 0.500
Ge: 0.500 0.500 0.000
Ge: 0.125 0.750 0.375
Ge: 0.750 0.125 0.875
Ge: 0.750 0.625 0.375
Ge: 0.375 0.125 0.750
Ge: 0.625 0.875 0.250
Ge: 0.500 0.500 0.500
Ge: 0.500 0.000 0.000
Ge: 0.000 0.000 0.500
Ge: 0.250 0.375 0.625
Ge: 0.250 0.875 0.125
Ge: 0.000 0.500 0.500
Ge: 0.875 0.250 0.625
Ge: 0.625 0.750 0.875
Ge: 0.875 0.625 0.750
S: 0.712 0.128 0.030
S: 0.318 0.530 0.402
S: 0.970 0.372 0.288
S: 0.530 0.212 0.128
S: 0.585 0.712 0.682
S: 0.970 0.598 0.182
S: 0.318 0.788 0.415
S: 0.098 0.915 0.128
S: 0.598 0.970 0.682
S: 0.712 0.585 0.182
S: 0.788 0.470 0.372
S: 0.818 0.902 0.030
S: 0.128 0.712 0.530
S: 0.372 0.402 0.085
S: 0.085 0.902 0.372
S: 0.415 0.128 0.598
S: 0.085 0.182 0.212
S: 0.470 0.682 0.098
S: 0.818 0.915 0.288
S: 0.128 0.415 0.098
S: 0.372 0.970 0.788
S: 0.598 0.628 0.415
S: 0.902 0.818 0.530
S: 0.788 0.318 0.915
S: 0.402 0.372 0.585
S: 0.098 0.182 0.470
S: 0.212 0.682 0.085
S: 0.182 0.085 0.712
S: 0.628 0.030 0.212
S: 0.872 0.585 0.902
S: 0.530 0.318 0.902
S: 0.585 0.872 0.402
S: 0.915 0.818 0.788
S: 0.915 0.098 0.628
S: 0.872 0.288 0.470
S: 0.182 0.098 0.970
S: 0.628 0.598 0.915
S: 0.402 0.030 0.318
S: 0.288 0.415 0.818
S: 0.212 0.530 0.628
S: 0.902 0.085 0.872
S: 0.682 0.212 0.585
S: 0.470 0.788 0.872
S: 0.030 0.402 0.818
S: 0.415 0.288 0.318
S: 0.030 0.628 0.712
S: 0.682 0.470 0.598
S: 0.288 0.872 0.970

## Properties
ΔE_f (raw): -0.0382 eV/atom
VASP energy: -297.1 eV/cell
Size of the total moment: 0.0 μB/f.u.

# 10
VASP calculation (PBE-GGA) on a relaxed HgGe2S4 crystal.

Cell: 6.922 6.922 6.922 Å, 100.57 100.57 129.29°
Positions (direct):
Hg: 0.500 0.500 0.000
Ge: 0.250 0.750 0.500
Ge: 0.750 0.250 0.500
S: 0.323 0.072 0.394
S: 0.928 0.323 0.251
S: 0.072 0.677 0.749
S: 0.677 0.928 0.606

## Properties
ΔE_f (raw): -0.2554 eV/atom
VASP energy: -27.8 eV/cell
Size of the total moment: 0.0 μB/f.u.

# 11
VASP calculation (PBE-GGA) on a relaxed HgGeS3 crystal.

Cell: 5.617 7.206 8.964 Å, 70.46 94.70 66.77°
Positions (direct):
Hg: 0.974 0.068 0.473
Hg: 0.511 0.836 0.309
Ge: 0.658 0.646 0.735
Ge: 0.827 0.258 0.047
S: 0.552 0.362 0.806
S: 0.933 0.543 0.976
S: 0.595 0.260 0.242
S: 0.336 0.981 0.683
S: 0.149 0.924 0.099
S: 0.889 0.644 0.541

## Properties
ΔE_f (raw): -0.2117 eV/atom
VASP energy: -36.7 eV/cell
Size of the total moment: 0.0 μB/f.u.
Energy above the lowest structure with this stoichiometry: 0.00 eV per formula unit

# 12
VASP calculation (PBE-GGA) on a relaxed Hg3GeS crystal.

Cell: 5.217 5.217 5.217 Å, 90.00 90.00 90.00°
Positions (direct):
S: 0.500 0.500 0.500
Ge: 0.000 0.000 0.000
Hg: 0.000 0.500 0.000
Hg: 0.000 0.000 0.500
Hg: 0.500 0.000 0.000

## Properties
ΔE_f (raw): 0.4315 eV/atom
VASP energy: -7.5 eV/cell
Size of the total moment: 0.0 μB/f.u.
Energy above the lowest structure with this stoichiometry: 0.00 eV per formula unit

# 13
VASP calculation (PBE-GGA) on a relaxed HgGeS3 crystal.

Cell: 3.699 6.765 10.709 Å, 94.39 90.00 105.87°
Positions (direct):
Hg: 0.659 0.318 0.864
Hg: 0.341 0.682 0.136
Ge: 0.908 0.816 0.731
Ge: 0.092 0.184 0.269
S: 0.343 0.687 0.622
S: 0.657 0.313 0.378
S: 0.852 0.705 0.924
S: 0.148 0.295 0.076
S: 0.078 0.157 0.720
S: 0.922 0.843 0.280

## Properties
ΔE_f (raw): -0.1639 eV/atom
VASP energy: -36.2 eV/cell
Size of the total moment: 0.0 μB/f.u.
Energy above the lowest structure with this stoichiometry: 0.24 eV per formula unit

# 14
VASP calculation (PBE-GGA) on a relaxed Hg2GeS2 crystal.

Cell: 7.691 7.691 4.069 Å, 90.00 90.00 90.00°
Positions (direct):
S: 0.274 0.774 0.000
S: 0.774 0.726 0.000
S: 0.726 0.226 0.000
S: 0.226 0.274 0.000
Ge: 0.000 0.000 0.000
Ge: 0.500 0.500 0.000
Hg: 0.124 0.624 0.500
Hg: 0.624 0.876 0.500
Hg: 0.876 0.376 0.500
Hg: 0.376 0.124 0.500

## Properties
ΔE_f (raw): 0.1539 eV/atom
VASP energy: -25.4 eV/cell
Size of the total moment: 0.0 μB/f.u.

# 15
VASP calculation (PBE-GGA) on a relaxed HgGeS2 crystal.

Cell: 10.279 10.279 10.279 Å, 19.23 19.23 19.23°
Positions (direct):
S: 0.880 0.880 0.880
S: 0.120 0.120 0.120
Ge: 0.500 0.500 0.500
Hg: 0.000 0.000 0.000

## Properties
ΔE_f (raw): -0.1399 eV/atom
VASP energy: -13.7 eV/cell
Size of the total moment: 0.0 μB/f.u.

# 16
VASP calculation (PBE-GGA) on a relaxed HgGeS4 crystal.

Cell: 8.764 6.336 9.199 Å, 94.32 106.36 124.41°
Positions (direct):
Hg: 0.385 0.635 0.270
Hg: 0.615 0.365 0.730
Ge: 0.844 0.094 0.188
Ge: 0.156 0.906 0.812
S: 0.274 0.185 0.671
S: 0.907 0.861 0.049
S: 0.103 0.514 0.329
S: 0.358 0.812 0.951
S: 0.726 0.815 0.329
S: 0.897 0.486 0.671
S: 0.093 0.139 0.951
S: 0.642 0.188 0.049

## Properties
ΔE_f (raw): -0.1253 eV/atom
VASP energy: -44.4 eV/cell
Size of the total moment: 0.0 μB/f.u.

# 17
VASP calculation (PBE-GGA) on a relaxed Hg2GeS4 crystal.

Cell: 5.966 5.966 6.681 Å, 116.52 116.52 90.00°
Positions (direct):
Hg: 0.750 0.250 0.500
Hg: 0.250 0.750 0.500
Ge: 0.500 0.500 0.000
S: 0.838 0.372 0.210
S: 0.372 0.838 0.210
S: 0.628 0.628 0.790
S: 0.162 0.162 0.790

## Properties
ΔE_f (raw): -0.2184 eV/atom
VASP energy: -23.3 eV/cell
Size of the total moment: 0.0 μB/f.u.

# 18
VASP calculation (PBE-GGA) on a relaxed HgGeS2 crystal.

Cell: 5.880 7.198 9.150 Å, 90.00 90.00 90.00°
Positions (direct):
Hg: 0.124 0.000 0.457
Hg: 0.624 0.000 0.543
Hg: 0.624 0.500 0.957
Hg: 0.124 0.500 0.043
Ge: 0.950 0.000 0.872
Ge: 0.450 0.000 0.128
Ge: 0.450 0.500 0.372
Ge: 0.950 0.500 0.628
S: 0.109 0.250 0.750
S: 0.609 0.750 0.250
S: 0.609 0.250 0.250
S: 0.109 0.750 0.750
S: 0.567 0.000 0.884
S: 0.067 0.000 0.116
S: 0.067 0.500 0.384
S: 0.567 0.500 0.616

## Properties
ΔE_f (raw): -0.0852 eV/atom
VASP energy: -54.1 eV/cell
Size of the total moment: 0.0 μB/f.u.

# 19
VASP calculation (PBE-GGA) on a relaxed HgGeS3 crystal.

Cell: 4.753 4.753 4.753 Å, 90.00 90.00 90.00°
Positions (direct):
S: 0.000 0.500 0.000
S: 0.000 0.000 0.500
S: 0.500 0.000 0.000
Ge: 0.000 0.000 0.000
Hg: 0.500 0.500 0.500

## Properties
ΔE_f (raw): 0.4211 eV/atom
VASP energy: -15.2 eV/cell
Size of the total moment: 0.0 μB/f.u.
Energy above the lowest structure with this stoichiometry: 3.16 eV per formula unit

# 20
VASP calculation (PBE-GGA) on a relaxed HgGeS crystal.

Cell: 4.090 7.645 5.315 Å, 87.13 89.85 74.52°
Positions (direct):
Hg: 0.087 0.366 0.870
Hg: 0.358 0.826 0.171
Ge: 0.806 0.929 0.464
Ge: 0.639 0.262 0.577
S: 0.557 0.427 0.211
S: 0.889 0.765 0.829

## Properties
ΔE_f (raw): -0.0106 eV/atom
VASP energy: -18.2 eV/cell
Size of the total moment: 0.0 μB/f.u.
Energy above the lowest structure with this stoichiometry: 0.41 eV per formula unit